Density functional theory data (PBE-GGA) for crystalline Cs2PrI5 at its relaxed geometry.

SG = I4mm (107)
calculated density = 3.6 Mg/m³
N(E_F) = 0.000 states/eV/cell
excess energy over the best structure of this formula in the dataset = 65 meV/atom
energy relative to the elements, uncorrected = -1.453 eV per atom
M_tot = 0.00 μB/cell
raw total energy = -0.23757 Ry/atom

Structure (POSCAR):
```
Cs2PrI5
1.0
9.3237 0.0000 0.0011
0.0002 9.3235 0.0010
-4.6611 -4.6609 5.4490
Cs I Pr
2 5 1
direct
0.2544 0.7541 0.5084
0.7541 0.2544 0.5084
0.2550 0.2550 0.0451
0.7040 0.7041 0.4084
0.7905 0.7905 0.0458
0.2552 0.7903 0.0454
0.7903 0.2552 0.0454
0.9735 0.9735 0.9470
```